Record 1
Here is a relaxed structure of RbH2Pb from the Alexandria database. Energies are from GGA-PBE.

Structure (POSCAR):
```
RbH2Pb
1.0
5.745 0.000 0.000
0.000 4.939 0.000
-2.743 0.000 6.992
Rb H Pb
2 4 2
Direct
0.000 0.000 0.000 Rb
0.301 0.500 0.543 Rb
0.041 0.500 0.813 H
0.051 0.000 0.418 H
0.251 0.500 0.141 H
0.922 0.500 0.723 H
0.578 0.500 0.124 Pb
0.713 0.000 0.411 Pb
```

Values from the calculation:
* symmetry: Pm
* crystal system: monoclinic
* distance to the lowest polymorph of the same formula: 0.000 eV per atom



Record 2
Here is a relaxed structure of Ac3BrN3 from the Alexandria database. Energies are from GGA-PBE.

Structure (POSCAR):
```
Ac3BrN3
1.0
3.668 2.118 8.175
-3.668 2.118 8.175
0.000 -4.236 8.175
Ac Br N
6 2 6
Direct
0.055 0.734 0.396 Ac
0.266 0.604 0.945 Ac
0.396 0.055 0.734 Ac
0.604 0.945 0.266 Ac
0.734 0.396 0.055 Ac
0.945 0.266 0.604 Ac
0.167 0.167 0.167 Br
0.833 0.833 0.833 Br
0.046 0.373 0.705 N
0.295 0.954 0.627 N
0.373 0.705 0.046 N
0.627 0.295 0.954 N
0.705 0.046 0.373 N
0.954 0.627 0.295 N
```

Values from the calculation:
* symmetry: R-3
* crystal system: trigonal
* formation energy from raw total energies: -1232 meV/atom
* density of states at the Fermi level: 4.96 states/eV/cell



Record 3
Here is a relaxed structure of PuPaI4 from the Alexandria database. Energies are from GGA-PBE.

Structure (POSCAR):
```
PuPaI4
1.0
8.812 -2.019 0.000
8.812 2.019 0.000
-2.032 0.000 6.715
Pu Pa I
1 1 4
Direct
0.000 0.000 0.000 Pu
0.500 0.500 0.500 Pa
0.127 0.127 0.427 I
0.374 0.374 0.077 I
0.626 0.626 0.923 I
0.873 0.873 0.573 I
```

Values from the calculation:
* symmetry: C2/m
* crystal system: monoclinic
* formation energy from raw total energies: -865 meV/atom
* density of states at the Fermi level: 8.37 states/eV/cell



Let's list VASP energy in order: -11.73; -47.60; -35.22 eV per formula unit.
Let's list density in order: 4933; 6998; 6829 kg/m³.